# 1
# TlCd2Pb6 (PBE, optimized geometry)
# crystal system	monoclinic
# formation energy from the elements	0.396	eV per formula unit
data_TlCd2Pb6
_chemical_formula_sum 'Tl4 Cd8 Pb24'
_cell_length_a 10.173
_cell_length_b 11.552
_cell_length_c 9.326
_cell_angle_alpha 90.00
_cell_angle_beta 100.57
_cell_angle_gamma 90.00
_symmetry_space_group_name_H-M 'C 1 2/c 1'
_symmetry_Int_Tables_number 15
loop_
_symmetry_equiv_pos_as_xyz
'x,y,z'
'-x,-y,-z'
'-x,y,-z+1/2'
'x,-y,z+1/2'
'x+1/2,y+1/2,z'
'-x+1/2,-y+1/2,-z'
'-x+1/2,y+1/2,-z+1/2'
'x+1/2,-y+1/2,z+1/2'
loop_
_atom_site_label
_atom_site_fract_x
_atom_site_fract_y
_atom_site_fract_z
_atom_site_occupancy
Tl1 0.000 0.128 0.250 1
Cd1 0.224 0.131 0.581 1
Pb1 0.053 0.372 0.084 1
Pb2 0.111 0.116 0.916 1
Pb3 0.168 0.374 0.745 1



# 2
# TlCdPb14 (PBE, optimized geometry)
# crystal system	orthorhombic
# formation energy from the elements	0.155	eV per formula unit
data_TlCdPb14
_chemical_formula_sum 'Tl2 Cd2 Pb28'
_cell_length_a 10.042
_cell_length_b 10.058
_cell_length_c 9.839
_cell_angle_alpha 90.00
_cell_angle_beta 90.00
_cell_angle_gamma 90.00
_symmetry_space_group_name_H-M 'C m m m'
_symmetry_Int_Tables_number 65
_symmetry_space_group_name_Hall '-C 2 2'
loop_
_atom_site_label
_atom_site_fract_x
_atom_site_fract_y
_atom_site_fract_z
_atom_site_occupancy
Tl1 0.000 0.000 0.000 1
Cd1 0.000 0.500 0.000 1
Pb1 0.000 0.000 0.500 1
Pb2 0.000 0.252 0.247 1
Pb3 0.000 0.500 0.500 1
Pb4 0.248 0.500 0.247 1
Pb5 0.250 0.250 0.000 1
Pb6 0.250 0.250 0.500 1



# 3
# TlCd4Pb7 (PBE, optimized geometry)
# crystal system	monoclinic
# formation energy from the elements	1.395	eV per formula unit
data_TlCd4Pb7
_chemical_formula_sum 'Tl2 Cd8 Pb14'
_cell_length_a 14.106
_cell_length_b 5.808
_cell_length_c 11.316
_cell_angle_alpha 90.00
_cell_angle_beta 126.14
_cell_angle_gamma 90.00
_symmetry_space_group_name_H-M 'C 1 2/m 1'
_symmetry_Int_Tables_number 12
loop_
_symmetry_equiv_pos_as_xyz
'x,y,z'
'-x,-y,-z'
'-x,y,-z'
'x,-y,z'
'x+1/2,y+1/2,z'
'-x+1/2,-y+1/2,-z'
'-x+1/2,y+1/2,-z'
'x+1/2,-y+1/2,z'
loop_
_atom_site_label
_atom_site_fract_x
_atom_site_fract_y
_atom_site_fract_z
_atom_site_occupancy
Tl1 0.000 0.000 0.000 1
Cd1 0.063 0.500 0.772 1
Cd2 0.206 0.500 0.327 1
Pb1 0.000 0.500 0.000 1
Pb2 0.078 0.000 0.354 1
Pb3 0.158 0.500 0.586 1
Pb4 0.216 0.000 0.884 1



- Look up the formation energy from the elements of the third one.
  1.395 eV per formula unit